VASP calculation (PBE) on a geometry-optimized ScC3 structure.

```
data_ScC3
_chemical_formula_sum 'Sc3 C9'
_space_group_name_H-M_alt 'R -3 m'
_space_group_IT_number 166
_space_group_name_Hall '-R 3 2"'
_cell_length_a 6.5651
_cell_length_b 6.5651
_cell_length_c 3.4271
_cell_angle_alpha 90.00
_cell_angle_beta 90.00
_cell_angle_gamma 120.00
loop_
_atom_site_label
_atom_site_fract_x
_atom_site_fract_y
_atom_site_fract_z
_atom_site_occupancy
Sc1 0.0000 0.0000 0.0000 1
C1 0.0000 0.5000 0.0000 1
```

total energy	-6.2816	eV per atom
size of the total moment	0.0	μB per formula unit
formation energy	2.2192	eV/atom
energy above the lowest structure with this stoichiometry	1971	meV per atom

---

VASP calculation (PBE) on a geometry-optimized K2InS2 structure.

```
data_K2InS2
_chemical_formula_sum 'K4 In2 S4'
_space_group_name_H-M_alt 'P 4/m b m'
_space_group_IT_number 127
_space_group_name_Hall '-P 4 2ab'
_cell_length_a 9.0778
_cell_length_b 9.0778
_cell_length_c 3.3465
_cell_angle_alpha 90.00
_cell_angle_beta 90.00
_cell_angle_gamma 90.00
loop_
_atom_site_label
_atom_site_fract_x
_atom_site_fract_y
_atom_site_fract_z
_atom_site_occupancy
K1 0.1240 0.3760 0.0000 1
In1 0.0000 0.0000 0.0000 1
S1 0.1754 0.6754 0.5000 1
```

formation energy from raw total energies	-0.460	eV per atom
total energy	-3.0981	eV per atom
size of the total moment	0.0	μB per formula unit
energy above the lowest structure with this stoichiometry	410	meV per atom